Density functional theory data (PBE-GGA) for a relaxed La4Ho2Tm crystal.

Lattice parameters (Å, degrees): 6.3036 6.7389 11.6864 90.00 104.47 90.00
With the nearest neighbours (Å) after each atom.
Positions (direct):
1 Tm 0.8495 0.2500 0.8378  6 La 3.35-3.58, 1 Ho 3.46
2 Ho 0.7069 0.7500 0.5771  9 La 3.45-3.72
3 La 0.0490 0.7500 0.8664  3 Tm 3.35-3.58, 2 La 3.41, 3 Ho 3.44-3.53
4 La 0.6430 0.9868 0.2828  4 La 3.19-3.55, 1 Tm 3.46, 1 Ho 3.54
5 Ho 0.6134 0.7500 0.9951  6 La 3.44-3.70, 1 Tm 3.46, 2 Ho 3.67
6 La 0.3570 0.4868 0.7172  4 La 3.19-3.55, 1 Tm 3.46, 1 Ho 3.54
7 La 0.1495 0.7500 0.4523  1 Tm 3.39, 4 Ho 3.45-3.53, 4 La 3.52-3.67
8 La 0.9510 0.2500 0.1336  3 Tm 3.35-3.58, 2 La 3.41, 3 Ho 3.44-3.53
9 Tm 0.1505 0.7500 0.1622  6 La 3.35-3.58, 1 Ho 3.46
10 La 0.6430 0.5132 0.2828  4 La 3.19-3.55, 1 Tm 3.46, 1 Ho 3.54
11 La 0.8505 0.2500 0.5477  1 Tm 3.39, 4 Ho 3.45-3.53, 4 La 3.52-3.67
12 La 0.3570 0.0132 0.7172  4 La 3.19-3.55, 1 Tm 3.46, 1 Ho 3.54
13 Ho 0.2931 0.2500 0.4229  9 La 3.45-3.72
14 Ho 0.3866 0.2500 0.0049  6 La 3.44-3.70, 1 Tm 3.46, 2 Ho 3.67

Values from the calculation:
volume	480.68	Å³/cell
energy of formation	2.9	kcal/mol of atoms
E above lowest polymorph	53	meV per atom